First-principles (SCAN) data for a crystal of MnZn2Cu relaxed with PBEsol, as listed in Alexandria.

Calculated values
As for the energy of formation: -0.12 eV per atom. For the density of states at the Fermi level, the calculation gives 1.9 states/eV per cell. As for the magnetic moment: 0.75 μB per atom.

The structure in extended XYZ format:
```
4
Lattice="2.654 0.000 0.021 0.000 2.666 0.000 -0.057 0.000 7.042" Properties=species:S:1:pos:R:3 pbc="T T T"
Zn -0.043 0.000 5.299
Zn 2.640 0.000 1.764
Mn 1.299 1.333 3.531
Cu 1.327 1.333 0.010
```


First-principles (SCAN) data for a crystal of CuMo3 relaxed with PBEsol, as listed in Alexandria.

Calculated values
As for the energy of formation: 0.22 eV per atom. For the density of states at the Fermi level, the calculation gives 2.8 states/eV per cell. As for the magnetic moment: 0.00 μB per atom.

The structure in extended XYZ format:
```
4
Lattice="2.599 0.000 -0.002 0.000 4.397 0.000 -0.856 0.000 5.078" Properties=species:S:1:pos:R:3 pbc="T T T"
Cu 0.000 0.000 0.000
Mo 0.021 2.198 3.820
Mo 0.872 0.000 2.538
Mo 1.722 2.198 1.256
```


First-principles (SCAN) data for a crystal of CuMo relaxed with PBEsol, as listed in Alexandria.

Calculated values
As for the energy of formation: 1.03 eV per atom. For the density of states at the Fermi level, the calculation gives 4.6 states/eV per cell. As for the magnetic moment: 0.00 μB per atom.

The structure in extended XYZ format:
```
4
Lattice="-1.461 0.127 3.431 -1.559 -2.161 -2.613 2.881 -3.729 1.365" Properties=species:S:1:pos:R:3 pbc="T T T"
Cu 0.000 0.000 0.000
Cu 1.440 -1.865 0.682
Mo 0.667 -3.433 2.440
Mo -0.806 -2.330 -0.257
```


First-principles (SCAN) data for a crystal of CuMo relaxed with PBEsol, as listed in Alexandria.

Calculated values
As for the energy of formation: 0.30 eV per atom. For the density of states at the Fermi level, the calculation gives 2.6 states/eV per cell. As for the magnetic moment: 0.00 μB per atom.

The structure in extended XYZ format:
```
4
Lattice="3.795 0.000 0.000 0.000 3.671 0.000 -1.897 -1.835 3.865" Properties=species:S:1:pos:R:3 pbc="T T T"
Cu 1.897 2.753 0.950
Cu 0.000 -0.918 2.914
Mo 0.000 0.918 0.960
Mo 1.897 0.918 2.905
```


First-principles (SCAN) data for a crystal of CuMo relaxed with PBEsol, as listed in Alexandria.

Calculated values
As for the energy of formation: 1.12 eV per atom. For the density of states at the Fermi level, the calculation gives 3.0 states/eV per cell. As for the magnetic moment: 0.00 μB per atom.

The structure in extended XYZ format:
```
4
Lattice="-0.940 3.527 0.817 0.340 -2.526 2.737 4.958 1.207 0.498" Properties=species:S:1:pos:R:3 pbc="T T T"
Cu 3.205 2.414 1.831
Cu 1.153 -0.207 2.221
Mo 0.000 0.000 0.000
Mo 2.479 0.603 0.249
```


First-principles (SCAN) data for a crystal of CuMo3 relaxed with PBEsol, as listed in Alexandria.

Calculated values
As for the energy of formation: 0.44 eV per atom. For the density of states at the Fermi level, the calculation gives 3.2 states/eV per cell. As for the magnetic moment: 0.00 μB per atom.

The structure in extended XYZ format:
```
4
Lattice="2.697 0.000 0.000 -1.349 2.336 0.000 0.000 0.000 9.321" Properties=species:S:1:pos:R:3 pbc="T T T"
Cu 0.000 0.000 0.000
Mo 0.000 0.000 4.660
Mo 1.349 0.779 7.093
Mo 1.349 0.779 2.228
```